Here is an optimized crystal structure of MnRhN2F from the Alexandria database. Energies are from PBE with a Hubbard U.

Unit cell a=3.6963 b=3.6963 c=3.8273 alpha=90.00 beta=90.00 gamma=90.00
Closest atoms and distances in Å follow each position.
Atoms (fractional coordinates):
1 Rh 0.5000 0.5000 0.5000  4 F 2.61, 8 N 2.66
2 Mn 0.0000 0.0000 0.0000  4 N 1.85, 2 F 1.91
3 N 0.5000 0.0000 0.0000  2 Mn 1.85
4 F 0.0000 0.0000 0.5000  2 Mn 1.91
5 N 0.0000 0.5000 0.0000  2 Mn 1.85

Results
**Total magnetic moment**: 0.21 μB/atom
**Raw total energy**: -5.650 eV/atom
**Fermi-level density of states**: 0.99 states/eV per atom